The following is a DFT calculation (PBE) of a relaxed structure of K5Hg.

Computed properties:
The density comes out at 1.87 Mg/m³. As for the total energy: -1.03 eV per atom. Its excess energy over the best structure of this formula in the dataset is 7 meV/atom. Its formation energy from the elements is -65 meV/atom. As for the total magnetization: 0.00 μB/cell.

a = 10.6407 Å, b = 10.6407 Å, c = 10.6407 Å
α = 129.18°, β = 129.18°, γ = 74.73°
Fractional coordinates of all 12 atoms:
K1 0.0000 0.0000 0.0000
K2 0.0187 0.5187 0.8334
K3 0.1853 0.0187 0.5000
K4 0.3147 0.8147 0.8334
K5 0.4813 0.3147 0.5000
K6 0.5000 0.5000 0.0000
K7 0.5187 0.6853 0.5000
K8 0.6853 0.1853 0.1666
K9 0.8147 0.9813 0.5000
K10 0.9813 0.4813 0.1666
Hg1 0.2500 0.2500 0.0000
Hg2 0.7500 0.7500 0.0000


The following is a DFT calculation (PBE) of a relaxed structure of KHg2.

Computed properties:
The density comes out at 7.35 Mg/m³. As for the total energy: -0.85 eV per atom. Its formation energy from the elements is -279 meV/atom. As for the total magnetization: 0.00 μB/cell.

a = 6.6676 Å, b = 6.6676 Å, c = 5.3435 Å
α = 113.26°, β = 113.26°, γ = 74.78°
Fractional coordinates of all 6 atoms:
K1 0.2019 0.2019 0.4530
K2 0.7981 0.7981 0.5470
Hg1 0.2173 0.6094 0.1642
Hg2 0.3906 0.7827 0.8358
Hg3 0.6094 0.2173 0.1642
Hg4 0.7827 0.3906 0.8358


The following is a DFT calculation (PBE) of a relaxed structure of KHg5.

Computed properties:
The density comes out at 9.62 Mg/m³. As for the total energy: -0.58 eV per atom. Its excess energy over the best structure of this formula in the dataset is 25 meV/atom. Its formation energy from the elements is -148 meV/atom. As for the total magnetization: 0.00 μB/cell.

a = 4.1175 Å, b = 4.1175 Å, c = 10.6147 Å
α = 90.00°, β = 90.00°, γ = 90.00°
Fractional coordinates of all 6 atoms:
K1 0.0000 0.0000 0.0000
Hg1 0.0000 0.0000 0.3467
Hg2 0.0000 0.0000 0.6533
Hg3 0.5000 0.5000 0.1970
Hg4 0.5000 0.5000 0.5000
Hg5 0.5000 0.5000 0.8030


The following is a DFT calculation (PBE) of a relaxed structure of KHg.

Computed properties:
The density comes out at 5.00 Mg/m³. As for the total energy: -0.81 eV per atom. Its formation energy from the elements is -112 meV/atom. As for the total magnetization: 0.00 μB/cell.

a = 6.1501 Å, b = 6.1501 Å, c = 9.7114 Å
α = 90.00°, β = 90.00°, γ = 120.00°
Fractional coordinates of all 8 atoms:
K1 0.0000 0.0000 0.2500
K2 0.0000 0.0000 0.7500
K3 0.3333 0.6667 0.2500
K4 0.6667 0.3333 0.7500
Hg1 0.3333 0.6667 0.5942
Hg2 0.3333 0.6667 0.9058
Hg3 0.6667 0.3333 0.0942
Hg4 0.6667 0.3333 0.4058


The following is a DFT calculation (PBE) of a relaxed structure of KHg.

Computed properties:
The density comes out at 5.06 Mg/m³. As for the total energy: -0.92 eV per atom. Its formation energy from the elements is -218 meV/atom. As for the total magnetization: 0.00 μB/cell.

a = 5.4318 Å, b = 5.4318 Å, c = 12.3048 Å
α = 90.00°, β = 90.00°, γ = 120.00°
Fractional coordinates of all 8 atoms:
K1 0.3333 0.6667 0.0971
K2 0.3333 0.6667 0.4029
K3 0.6667 0.3333 0.5971
K4 0.6667 0.3333 0.9029
Hg1 0.0000 0.0000 0.2500
Hg2 0.0000 0.0000 0.7500
Hg3 0.3333 0.6667 0.7500
Hg4 0.6667 0.3333 0.2500


The following is a DFT calculation (PBE) of a relaxed structure of K4Hg3.

Computed properties:
The density comes out at 4.02 Mg/m³. As for the total energy: -0.92 eV per atom. Its excess energy over the best structure of this formula in the dataset is 41 meV/atom. Its formation energy from the elements is -164 meV/atom. As for the total magnetization: 0.00 μB/cell.

a = 5.4800 Å, b = 5.4800 Å, c = 12.4510 Å
α = 102.37°, β = 102.37°, γ = 59.87°
Fractional coordinates of all 7 atoms:
K1 0.0519 0.0519 0.1578
K2 0.2088 0.2088 0.6274
K3 0.7912 0.7912 0.3726
K4 0.9481 0.9481 0.8422
Hg1 0.3321 0.3321 0.9963
Hg2 0.5000 0.5000 0.5000
Hg3 0.6679 0.6679 0.0037


The following is a DFT calculation (PBE) of a relaxed structure of KHg6.

Computed properties:
The density comes out at 9.84 Mg/m³. As for the total energy: -0.57 eV per atom. Its excess energy over the best structure of this formula in the dataset is 0 meV/atom. Its formation energy from the elements is -155 meV/atom. As for the total magnetization: 0.00 μB/cell.

a = 13.8953 Å, b = 5.4921 Å, c = 10.9932 Å
α = 90.00°, β = 90.00°, γ = 90.00°
Fractional coordinates of all 28 atoms:
K1 0.1788 0.2500 0.1332
K2 0.3212 0.7500 0.6332
K3 0.6788 0.2500 0.3668
K4 0.8212 0.7500 0.8668
Hg1 0.0012 0.7500 0.1022
Hg2 0.0507 0.7500 0.6422
Hg3 0.0888 0.7500 0.3570
Hg4 0.1455 0.7500 0.8981
Hg5 0.1471 0.2500 0.4959
Hg6 0.1964 0.2500 0.7659
Hg7 0.3036 0.7500 0.2659
Hg8 0.3529 0.7500 0.9959
Hg9 0.3545 0.2500 0.3981
Hg10 0.4112 0.2500 0.8570
Hg11 0.4493 0.2500 0.1422
Hg12 0.4988 0.2500 0.6022
Hg13 0.5012 0.7500 0.3978
Hg14 0.5507 0.7500 0.8578
Hg15 0.5888 0.7500 0.1430
Hg16 0.6455 0.7500 0.6019
Hg17 0.6471 0.2500 0.0041
Hg18 0.6964 0.2500 0.7341
Hg19 0.8036 0.7500 0.2341
Hg20 0.8529 0.7500 0.5041
Hg21 0.8545 0.2500 0.1019
Hg22 0.9112 0.2500 0.6430
Hg23 0.9493 0.2500 0.3578
Hg24 0.9988 0.2500 0.8978


The following is a DFT calculation (PBE) of a relaxed structure of K5Hg4.

Computed properties:
The density comes out at 4.37 Mg/m³. As for the total energy: -0.96 eV per atom. Its excess energy over the best structure of this formula in the dataset is 0 meV/atom. Its formation energy from the elements is -215 meV/atom. As for the total magnetization: 0.00 μB/cell.

a = 6.8889 Å, b = 6.8889 Å, c = 12.3429 Å
α = 110.19°, β = 110.19°, γ = 44.26°
Fractional coordinates of all 9 atoms:
K1 0.0000 0.0000 0.0000
K2 0.1106 0.1106 0.3977
K3 0.2460 0.2460 0.8261
K4 0.7540 0.7540 0.1739
K5 0.8894 0.8894 0.6023
Hg1 0.3957 0.3957 0.3862
Hg2 0.4573 0.4573 0.1724
Hg3 0.5427 0.5427 0.8276
Hg4 0.6043 0.6043 0.6138


The following is a DFT calculation (PBE) of a relaxed structure of K7Hg3.

Computed properties:
The density comes out at 2.91 Mg/m³. As for the total energy: -1.00 eV per atom. Its formation energy from the elements is -143 meV/atom. As for the total magnetization: 0.00 μB/cell.

a = 12.3238 Å, b = 12.3238 Å, c = 7.5945 Å
α = 90.00°, β = 90.00°, γ = 120.00°
Fractional coordinates of all 20 atoms:
K1 0.0778 0.5389 0.0000
K2 0.1227 0.2454 0.7345
K3 0.1227 0.8773 0.7345
K4 0.2454 0.1227 0.2345
K5 0.3333 0.6667 0.5211
K6 0.4611 0.5389 0.0000
K7 0.4611 0.9222 0.0000
K8 0.5389 0.0778 0.5000
K9 0.5389 0.4611 0.5000
K10 0.6667 0.3333 0.0211
K11 0.7546 0.8773 0.7345
K12 0.8773 0.1227 0.2345
K13 0.8773 0.7546 0.2345
K14 0.9222 0.4611 0.5000
Hg1 0.1914 0.3828 0.2871
Hg2 0.1914 0.8086 0.2871
Hg3 0.3828 0.1914 0.7871
Hg4 0.6172 0.8086 0.2871
Hg5 0.8086 0.1914 0.7871
Hg6 0.8086 0.6172 0.7871


The following is a DFT calculation (PBE) of a relaxed structure of K3Hg4.

Computed properties:
The density comes out at 5.80 Mg/m³. As for the total energy: -0.90 eV per atom. Its excess energy over the best structure of this formula in the dataset is 0 meV/atom. Its formation energy from the elements is -258 meV/atom. As for the total magnetization: 0.00 μB/cell.

a = 11.5087 Å, b = 11.5087 Å, c = 11.5087 Å
α = 156.84°, β = 153.91°, γ = 35.17°
Fractional coordinates of all 7 atoms:
K1 0.0000 0.0000 0.0000
K2 0.3108 0.8108 0.5000
K3 0.6892 0.1892 0.5000
Hg1 0.1438 0.6438 0.5000
Hg2 0.4316 0.4316 0.0000
Hg3 0.5684 0.5684 0.0000
Hg4 0.8562 0.3562 0.5000


The following is a DFT calculation (PBE) of a relaxed structure of KHg2.

Computed properties:
The density comes out at 7.76 Mg/m³. As for the total energy: -0.79 eV per atom. Its formation energy from the elements is -221 meV/atom. As for the total magnetization: 0.00 μB/cell.

a = 6.4352 Å, b = 6.4352 Å, c = 6.4352 Å
α = 60.00°, β = 60.00°, γ = 60.00°
Fractional coordinates of all 6 atoms:
K1 0.1250 0.1250 0.1250
K2 0.8750 0.8750 0.8750
Hg1 0.0000 0.5000 0.5000
Hg2 0.5000 0.0000 0.5000
Hg3 0.5000 0.5000 0.0000
Hg4 0.5000 0.5000 0.5000


The following is a DFT calculation (PBE) of a relaxed structure of K2Hg7.

Computed properties:
The density comes out at 8.88 Mg/m³. As for the total energy: -0.70 eV per atom. Its excess energy over the best structure of this formula in the dataset is 0 meV/atom. Its formation energy from the elements is -221 meV/atom. As for the total magnetization: 0.00 μB/cell.

a = 7.0601 Å, b = 7.0601 Å, c = 6.4187 Å
α = 90.00°, β = 90.00°, γ = 120.00°
Fractional coordinates of all 9 atoms:
K1 0.3333 0.6667 0.3380
K2 0.6667 0.3333 0.6620
Hg1 0.0000 0.0000 0.5000
Hg2 0.1820 0.3641 0.8311
Hg3 0.1820 0.8180 0.8311
Hg4 0.3641 0.1820 0.1689
Hg5 0.6359 0.8180 0.8311
Hg6 0.8180 0.1820 0.1689
Hg7 0.8180 0.6359 0.1689